(1)
Density functional theory data (PBE) for a relaxed AgP3 crystal.

Cell: 5.506 5.506 6.403 Å, 90.00 90.00 120.00°
Atoms (fractional coordinates):
Ag 0.333 0.667 0.250
Ag 0.667 0.333 0.750
P 0.132 0.264 0.750
P 0.132 0.868 0.750
P 0.264 0.132 0.250
P 0.736 0.868 0.750
P 0.868 0.132 0.250
P 0.868 0.736 0.250

Properties
- Formation energy: 594.1 meV/atom
- Volume: 84.03 Å³/f.u.
- M_tot: 0.0000 μB/atom

(2)
Density functional theory data (PBE) for a relaxed AcAg2AsP crystal.

Cell: 7.727 7.727 7.727 Å, 130.60 130.60 72.45°
Atoms (fractional coordinates):
Ac 0.000 0.000 0.000
Ac 0.500 0.500 0.000
Ag 0.040 0.540 0.159
Ag 0.381 0.881 0.841
Ag 0.540 0.381 0.500
Ag 0.881 0.040 0.500
As 0.029 0.529 0.500
As 0.529 0.029 0.500
P 0.261 0.261 0.000
P 0.761 0.761 0.000

Properties
- Formation energy: -398.7 meV/atom
- Volume: 129.98 Å³/f.u.
- M_tot: 0.0000 μB/atom

(3)
Density functional theory data (PBE) for a relaxed Li8Cd2Ag3 crystal.

Cell: 7.414 7.414 5.532 Å, 105.95 105.95 60.53°
Atoms (fractional coordinates):
Li 0.075 0.693 0.347
Li 0.105 0.105 0.172
Li 0.307 0.925 0.653
Li 0.311 0.311 0.069
Li 0.689 0.689 0.931
Li 0.693 0.075 0.347
Li 0.895 0.895 0.828
Li 0.925 0.307 0.653
Cd 0.299 0.299 0.583
Cd 0.701 0.701 0.417
Ag 0.312 0.688 0.000
Ag 0.500 0.500 0.500
Ag 0.688 0.312 0.000

Properties
- Formation energy: -78.2 meV/atom
- Volume: 250.95 Å³/f.u.
- M_tot: 0.0000 μB/atom

(4)
Density functional theory data (PBE) for a relaxed Ac2PmSm3Se6 crystal.

Cell: 7.387 7.387 7.455 Å, 99.52 99.52 120.21°
Atoms (fractional coordinates):
Ac 0.166 0.834 0.000
Ac 0.834 0.166 0.000
Pm 0.500 0.500 0.000
Sm 0.000 0.000 0.500
Sm 0.330 0.670 0.500
Sm 0.670 0.330 0.500
Se 0.088 0.413 0.738
Se 0.265 0.265 0.267
Se 0.413 0.088 0.738
Se 0.587 0.912 0.262
Se 0.735 0.735 0.733
Se 0.912 0.587 0.262

Properties
- Uncorrected formation energy: -176 kJ/mol of atoms
- Volume: 331.62 Å³/f.u.
- M_tot: 0.0000 μB/atom

(5)
Density functional theory data (PBE) for a relaxed Ti3MoPd crystal.

Cell: 4.665 4.665 4.665 Å, 90.00 90.00 90.00°
Atoms (fractional coordinates):
Ti 0.000 0.000 0.500
Ti 0.000 0.500 0.000
Ti 0.500 0.000 0.000
Mo 0.000 0.000 0.000
Pd 0.500 0.500 0.500

Properties
- Formation energy: 759.4 meV/atom
- Volume: 101.55 Å³/f.u.
- M_tot: 0.1040 μB/atom